V2AsClO | PBE with a Hubbard U | optimized geometry

abc: 4.621 4.621 4.085
angles: 90.00 90.00 90.00
Space group P4/mmm (No. 123)
Inequivalent atoms, fractional coordinates:
V1 0.000 0.500 0.000 x2
As1 0.000 0.000 0.500 x1
Cl1 0.500 0.500 0.500 x1
O1 0.000 0.000 0.000 x1

Electronic total energy (eV per atom): -5.12
Theoretical density (g cm⁻³): 4.34